HfAlNi, relaxed, DFT GGA-PBE; M_tot = 0.01 μB/f.u.; symmetry = No. 216; V = 54.3 Å³/f.u.; E_tot = -6.217 eV/atom
1.0
0.000 3.005 3.005
3.005 0.000 3.005
3.005 3.005 0.000
Hf Al Ni
1 1 1
Direct
0.000 0.000 0.000 Hf
0.250 0.250 0.250 Al
0.500 0.500 0.500 Ni

SrHgTeO, relaxed, DFT GGA-PBE; energy above the most stable polymorph in this dataset = 583 meV/atom; symmetry = No. 129; V = 130.7 Å³/f.u.
1.0
5.920 0.000 0.000
0.000 5.920 0.000
0.000 0.000 7.458
Sr Hg Te O
2 2 2 2
Direct
0.250 0.750 0.000 Sr
0.750 0.250 0.000 Sr
0.250 0.250 0.246 Hg
0.750 0.750 0.754 Hg
0.250 0.250 0.795 Te
0.750 0.750 0.205 Te
0.250 0.250 0.535 O
0.750 0.750 0.465 O

La2Cu3Si, relaxed, DFT GGA-PBE; M_tot = 0.00 μB/f.u.; symmetry = No. 164; V = 154.0 Å³/f.u.; E_tot = -4.390 eV/atom
1.0
4.676 0.000 0.000
-2.338 4.050 0.000
0.000 0.000 8.132
La Cu Si
2 3 1
Direct
0.333 0.667 0.318 La
0.667 0.333 0.682 La
0.000 0.500 0.000 Cu
0.500 0.000 0.000 Cu
0.500 0.500 0.000 Cu
0.000 0.000 0.500 Si

Ta3CuSn5, relaxed, DFT GGA-PBE; M_tot = 0.00 μB/f.u.; symmetry = No. 191; V = 218.7 Å³/f.u.; E_tot = -6.283 eV/atom
1.0
5.772 0.000 0.000
-2.886 4.999 0.000
0.000 0.000 7.579
Ta Cu Sn
3 1 5
Direct
0.000 0.500 0.000 Ta
0.500 0.000 0.000 Ta
0.500 0.500 0.000 Ta
0.000 0.000 0.500 Cu
0.000 0.000 0.000 Sn
0.333 0.667 0.315 Sn
0.333 0.667 0.685 Sn
0.667 0.333 0.315 Sn
0.667 0.333 0.685 Sn

SiGePt, relaxed, DFT GGA-PBE; M_tot = 0.00 μB/f.u.; energy above the most stable polymorph in this dataset = 308 meV/atom; symmetry = No. 216; V = 52.2 Å³/f.u.
1.0
0.000 2.967 2.967
2.967 0.000 2.967
2.967 2.967 0.000
Si Ge Pt
1 1 1
Direct
0.000 0.000 0.000 Si
0.750 0.750 0.750 Ge
0.250 0.250 0.250 Pt

KSnAuSe3, relaxed, DFT GGA-PBE; energy above the most stable polymorph in this dataset = 0 meV/atom; symmetry = No. 62; V = 168.7 Å³/f.u.
1.0
14.047 0.000 0.000
0.000 4.225 0.000
0.000 0.000 11.366
K Sn Au Se
4 4 4 12
Direct
0.162 0.250 0.010 K
0.338 0.750 0.510 K
0.662 0.250 0.490 K
0.838 0.750 0.990 K
0.030 0.750 0.647 Sn
0.470 0.250 0.147 Sn
0.530 0.750 0.853 Sn
0.970 0.250 0.353 Sn
0.215 0.750 0.241 Au
0.285 0.250 0.741 Au
0.715 0.750 0.259 Au
0.785 0.250 0.759 Au
0.039 0.750 0.211 Se
0.114 0.250 0.511 Se
0.187 0.750 0.779 Se
0.313 0.250 0.279 Se
0.386 0.750 0.011 Se
0.461 0.250 0.711 Se
0.539 0.750 0.289 Se
0.614 0.250 0.989 Se
0.687 0.750 0.721 Se
0.813 0.250 0.221 Se
0.886 0.750 0.489 Se
0.961 0.250 0.789 Se

HoNi, relaxed, DFT GGA-PBE; M_tot = 0.02 μB/f.u.; energy of formation = 0.441 eV/atom; symmetry = No. 216; V = 55.5 Å³/f.u.
1.0
0.000 3.027 3.027
3.027 0.000 3.027
3.027 3.027 0.000
Ho Ni
1 1
Direct
0.000 0.000 0.000 Ho
0.750 0.750 0.750 Ni

CsErHgS3, relaxed, DFT GGA-PBE; M_tot = 0.00 μB/f.u.; symmetry = No. 62; V = 178.9 Å³/f.u.; E_tot = -4.264 eV/atom
1.0
15.713 0.000 0.000
0.000 4.141 0.000
0.000 0.000 10.998
Cs Er Hg S
4 4 4 12
Direct
0.239 0.250 0.047 Cs
0.261 0.750 0.547 Cs
0.739 0.250 0.453 Cs
0.761 0.750 0.953 Cs
0.019 0.250 0.354 Er
0.481 0.750 0.854 Er
0.519 0.250 0.146 Er
0.981 0.750 0.646 Er
0.015 0.750 0.108 Hg
0.485 0.250 0.608 Hg
0.515 0.750 0.392 Hg
0.985 0.250 0.892 Hg
0.083 0.250 0.576 S
0.084 0.750 0.873 S
0.126 0.750 0.273 S
0.374 0.250 0.773 S
0.416 0.250 0.373 S
0.417 0.750 0.076 S
0.583 0.250 0.924 S
0.584 0.750 0.627 S
0.626 0.750 0.227 S
0.874 0.250 0.727 S
0.916 0.250 0.127 S
0.917 0.750 0.424 S

PuTcSb, relaxed, DFT GGA-PBE; M_tot = 3.78 μB/f.u.; symmetry = No. 216; V = 71.9 Å³/f.u.; E_tot = -8.855 eV/atom
1.0
0.000 3.300 3.300
3.300 0.000 3.300
3.300 3.300 0.000
Pu Tc Sb
1 1 1
Direct
0.000 0.000 0.000 Pu
0.250 0.250 0.250 Tc
0.750 0.750 0.750 Sb

SrLaAgSeS2, relaxed, DFT GGA-PBE; M_tot = 0.00 μB/f.u.; symmetry = No. 63; V = 158.8 Å³/f.u.; E_tot = -5.134 eV/atom
1.0
2.081 -6.900 0.000
2.081 6.900 0.000
0.000 0.000 11.058
Sr La Ag Se S
2 2 2 2 4
Direct
0.232 0.768 0.750 Sr
0.768 0.232 0.250 Sr
0.000 0.000 0.000 La
0.000 0.000 0.500 La
0.480 0.520 0.250 Ag
0.520 0.480 0.750 Ag
0.101 0.899 0.250 Se
0.899 0.101 0.750 Se
0.365 0.635 0.073 S
0.365 0.635 0.427 S
0.635 0.365 0.573 S
0.635 0.365 0.927 S

LuScCuAu, relaxed, DFT GGA-PBE; M_tot = 0.00 μB/f.u.; energy above the most stable polymorph in this dataset = 228 meV/atom; energy of formation = -0.336 eV/atom; symmetry = No. 216; V = 72.5 Å³/f.u.
1.0
0.000 3.309 3.309
3.309 0.000 3.309
3.309 3.309 0.000
Lu Sc Cu Au
1 1 1 1
Direct
0.000 0.000 0.000 Lu
0.750 0.750 0.750 Sc
0.250 0.250 0.250 Cu
0.500 0.500 0.500 Au

Dy3SbS2, relaxed, DFT GGA-PBE; M_tot = 0.01 μB/f.u.; symmetry = No. 164; V = 142.3 Å³/f.u.; E_tot = -6.032 eV/atom
1.0
4.064 0.000 0.000
-2.032 3.520 0.000
0.000 0.000 9.945
Dy Sb S
3 1 2
Direct
0.000 0.000 0.000 Dy
0.333 0.667 0.693 Dy
0.667 0.333 0.307 Dy
0.000 0.000 0.500 Sb
0.333 0.667 0.154 S
0.667 0.333 0.846 S

NbCdO3, relaxed, DFT GGA-PBE; M_tot = 0.84 μB/f.u.; symmetry = No. 62; V = 64.0 Å³/f.u.; E_tot = -6.780 eV/atom
1.0
5.648 0.000 0.000
0.000 7.718 0.000
0.000 0.000 5.876
Nb Cd O
4 4 12
Direct
0.021 0.250 0.019 Nb
0.479 0.750 0.519 Nb
0.521 0.250 0.481 Nb
0.979 0.750 0.981 Nb
0.000 0.000 0.500 Cd
0.000 0.500 0.500 Cd
0.500 0.000 0.000 Cd
0.500 0.500 0.000 Cd
0.135 0.572 0.153 O
0.135 0.928 0.153 O
0.152 0.750 0.690 O
0.348 0.250 0.190 O
0.365 0.072 0.653 O
0.365 0.428 0.653 O
0.635 0.572 0.347 O
0.635 0.928 0.347 O
0.652 0.750 0.810 O
0.848 0.250 0.310 O
0.865 0.072 0.847 O
0.865 0.428 0.847 O

Li2InSnHg2Pd2, relaxed, DFT GGA-PBE; symmetry = No. 115; V = 145.9 Å³/f.u.; E_tot = -3.082 eV/atom
1.0
4.691 0.000 0.000
0.000 4.691 0.000
0.000 0.000 6.629
Li In Sn Hg Pd
2 1 1 2 2
Direct
0.000 0.500 0.250 Li
0.500 0.000 0.750 Li
0.000 0.000 0.500 In
0.500 0.500 0.000 Sn
0.000 0.000 0.000 Hg
0.500 0.500 0.500 Hg
0.000 0.500 0.750 Pd
0.500 0.000 0.250 Pd

Hf3Sb2Pd2, relaxed, DFT GGA-PBE; M_tot = 0.06 μB/f.u.; symmetry = No. 160; V = 144.7 Å³/f.u.; E_tot = -7.290 eV/atom
1.0
2.414 1.394 7.168
-2.414 1.394 7.168
0.000 -2.788 7.168
Hf Sb Pd
3 2 2
Direct
0.000 0.000 0.000 Hf
0.265 0.265 0.265 Hf
0.727 0.727 0.727 Hf
0.402 0.402 0.402 Sb
0.865 0.865 0.865 Sb
0.134 0.134 0.134 Pd
0.592 0.592 0.592 Pd

LaAlCuAu, relaxed, DFT GGA-PBE; M_tot = 0.00 μB/f.u.; energy above the most stable polymorph in this dataset = 179 meV/atom; symmetry = No. 216; V = 84.3 Å³/f.u.
1.0
0.000 3.480 3.480
3.480 0.000 3.480
3.480 3.480 0.000
La Al Cu Au
1 1 1 1
Direct
0.000 0.000 0.000 La
0.250 0.250 0.250 Al
0.500 0.500 0.500 Cu
0.750 0.750 0.750 Au

NaLuCdS3, relaxed, DFT GGA-PBE; M_tot = 0.00 μB/f.u.; energy above the most stable polymorph in this dataset = 45 meV/atom; symmetry = No. 63; V = 139.6 Å³/f.u.
1.0
1.983 -6.632 0.000
1.983 6.632 0.000
0.000 0.000 10.610
Na Lu Cd S
2 2 2 6
Direct
0.242 0.758 0.750 Na
0.758 0.242 0.250 Na
0.500 0.500 0.000 Lu
0.500 0.500 0.500 Lu
0.041 0.959 0.250 Cd
0.959 0.041 0.750 Cd
0.134 0.866 0.049 S
0.134 0.866 0.451 S
0.420 0.580 0.250 S
0.580 0.420 0.750 S
0.866 0.134 0.549 S
0.866 0.134 0.951 S

La2ReB5Os2, relaxed, DFT GGA-PBE; M_tot = 0.00 μB/f.u.; symmetry = No. 5; V = 147.6 Å³/f.u.; E_tot = -8.279 eV/atom
1.0
5.408 -2.059 0.000
5.408 2.059 0.000
-4.726 0.000 6.629
La Re B Os
2 1 5 2
Direct
0.166 0.166 0.261 La
0.834 0.834 0.739 La
0.777 0.223 0.500 Re
0.143 0.145 0.814 B
0.244 0.703 0.380 B
0.297 0.756 0.620 B
0.504 0.496 0.000 B
0.855 0.857 0.186 B
0.380 0.356 0.095 Os
0.644 0.620 0.905 Os

RbGeAu3S4, relaxed, DFT GGA-PBE; energy above the most stable polymorph in this dataset = 138 meV/atom; symmetry = No. 215; V = 258.3 Å³/f.u.
1.0
6.368 0.000 0.000
0.000 6.368 0.000
0.000 0.000 6.368
Rb Ge Au S
1 1 3 4
Direct
0.000 0.000 0.000 Rb
0.500 0.500 0.500 Ge
0.000 0.500 0.500 Au
0.500 0.000 0.500 Au
0.500 0.500 0.000 Au
0.297 0.297 0.297 S
0.297 0.703 0.703 S
0.703 0.297 0.703 S
0.703 0.703 0.297 S

TbNpCo, relaxed, DFT GGA-PBE; M_tot = 4.38 μB/f.u.; energy above the most stable polymorph in this dataset = 0 meV/atom; energy of formation = 0.346 eV/atom; symmetry = No. 216; V = 65.2 Å³/f.u.
1.0
0.000 3.194 3.194
3.194 0.000 3.194
3.194 3.194 0.000
Tb Np Co
1 1 1
Direct
0.000 0.000 0.000 Tb
0.500 0.500 0.500 Np
0.750 0.750 0.750 Co

HoAgTe2, relaxed, DFT GGA-PBE; M_tot = 0.01 μB/f.u.; symmetry = No. 122; V = 148.5 Å³/f.u.; E_tot = -4.158 eV/atom
1.0
-3.344 3.344 6.639
3.344 -3.344 6.639
3.344 3.344 -6.639
Ho Ag Te
2 2 4
Direct
0.000 0.000 0.000 Ho
0.750 0.250 0.500 Ho
0.250 0.750 0.500 Ag
0.500 0.500 0.000 Ag
0.139 0.125 0.514 Te
0.375 0.861 0.986 Te
0.611 0.625 0.486 Te
0.875 0.389 0.014 Te

KNaPPd, relaxed, DFT GGA-PBE; energy above the most stable polymorph in this dataset = 0 meV/atom; symmetry = No. 11; V = 95.4 Å³/f.u.
1.0
5.858 0.000 0.000
0.000 5.614 0.000
-1.430 0.000 5.803
K Na P Pd
2 2 2 2
Direct
0.035 0.250 0.178 K
0.965 0.750 0.822 K
0.336 0.750 0.498 Na
0.664 0.250 0.502 Na
0.265 0.250 0.725 P
0.735 0.750 0.275 P
0.500 0.000 0.000 Pd
0.500 0.500 0.000 Pd

TbYAl6, relaxed, DFT GGA-PBE; M_tot = 0.00 μB/f.u.; symmetry = No. 187; V = 158.1 Å³/f.u.; E_tot = -4.634 eV/atom
1.0
6.295 0.000 0.000
-3.147 5.451 0.000
0.000 0.000 4.607
Tb Y Al
1 1 6
Direct
0.000 0.000 0.000 Tb
0.667 0.333 0.500 Y
0.040 0.520 0.000 Al
0.187 0.374 0.500 Al
0.187 0.813 0.500 Al
0.480 0.520 0.000 Al
0.480 0.960 0.000 Al
0.626 0.813 0.500 Al

Na4ZnGa2Ni, relaxed, DFT GGA-PBE; M_tot = 0.01 μB/f.u.; symmetry = No. 115; V = 151.7 Å³/f.u.; E_tot = -2.168 eV/atom
1.0
4.733 0.000 0.000
0.000 4.733 0.000
0.000 0.000 6.772
Na Zn Ga Ni
4 1 2 1
Direct
0.000 0.000 0.000 Na
0.000 0.500 0.743 Na
0.500 0.000 0.257 Na
0.500 0.500 0.500 Na
0.500 0.500 0.000 Zn
0.000 0.500 0.273 Ga
0.500 0.000 0.727 Ga
0.000 0.000 0.500 Ni